First-principles (PBE-GGA) data for a relaxed structure of CeHoIn4, as listed in the Alexandria database.

Cell lengths 7.0110, 7.0077, 7.7903 Å; angles 90.00, 90.10, 90.00 degrees
Closest atoms and distances in Å follow each position.
Atoms (fractional coordinates):
Ce 0.0000 0.0000 0.0000  8 In 3.23
Ce 0.5000 0.5000 0.0000  8 In 3.23
Ho 0.0000 0.5000 0.5000  8 In 3.08
Ho 0.5000 0.0000 0.5000  8 In 3.08
In 0.2502 0.2504 0.2654  2 Ho 3.08, 2 Ce 3.23
In 0.2498 0.2496 0.7346  2 Ho 3.08, 2 Ce 3.23
In 0.2502 0.7496 0.2654  2 Ho 3.08, 2 Ce 3.23
In 0.2498 0.7504 0.7346  2 Ho 3.08, 2 Ce 3.23
In 0.7502 0.2496 0.2654  2 Ho 3.08, 2 Ce 3.23
In 0.7498 0.2504 0.7346  2 Ho 3.08, 2 Ce 3.23
In 0.7502 0.7504 0.2654  2 Ho 3.08, 2 Ce 3.23
In 0.7498 0.7496 0.7346  2 Ho 3.08, 2 Ce 3.23

Results
Symmetry: C2/m, No. 12
Energy relative to the elements (eV per atom): 0.0039

First-principles (PBE-GGA) data for a relaxed structure of HgSbI2O, as listed in the Alexandria database.

Cell lengths 5.7438, 5.7438, 5.7196 Å; angles 90.00, 90.00, 90.00 degrees
Closest atoms and distances in Å follow each position.
Atoms (fractional coordinates):
Hg 0.0000 0.0000 0.0000  2 Sb 2.86, 4 I 2.87
Sb 0.0000 0.0000 0.5000  2 Hg 2.86
I 0.0000 0.5000 0.0000  2 Hg 2.87
I 0.5000 0.0000 0.0000  2 Hg 2.87
O 0.5000 0.5000 0.5000  8 I 4.05, 4 Sb 4.06

Results
Formation energy (no corrections) (eV/atom): 1.0568
Symmetry: P4/mmm, No. 123

The following energy above the lowest structure with this stoichiometry values (in meV per atom) correspond, in order, to the records above: 304 1329.